1.
A relaxed Cu2AsP crystal, computed with PBE-GGA.

Cell lengths 8.5490, 8.5490, 8.5490 Å; angles 19.24, 19.24, 19.24 degrees
Sites, in units of the cell vectors:
Cu1 0.0000 0.0000 0.0000
Cu2 0.2550 0.2550 0.2550
As1 0.5062 0.5062 0.5062
P1 0.7377 0.7377 0.7377

Computed properties:
VASP energy (eV for the cell shown): -16.9
Density of states at the Fermi level (states/eV/f.u.): 1.66
ρ (g cm⁻³): 6.52
DFT formation energy (eV/atom): 0.34
Magnetization (μB per formula unit): 0.0
Excess energy over the best structure of this formula in the dataset (eV per atom): 0.246

***

2.
A relaxed Cu2AsP crystal, computed with PBE-GGA.

Cell lengths 4.3831, 4.3831, 4.3831 Å; angles 60.00, 60.00, 60.00 degrees
Sites, in units of the cell vectors:
Cu1 0.0000 0.0000 0.0000
Cu2 0.2500 0.2500 0.2500
As1 0.5000 0.5000 0.5000
P1 0.7500 0.7500 0.7500

Computed properties:
VASP energy (eV for the cell shown): -16.5
Density of states at the Fermi level (states/eV/f.u.): 1.19
ρ (g cm⁻³): 6.50
DFT formation energy (eV/atom): 0.44
Magnetization (μB per formula unit): 0.0
Excess energy over the best structure of this formula in the dataset (eV per atom): 0.347

***

3.
A relaxed Cu3AsP crystal, computed with PBE-GGA.

Cell lengths 4.5130, 4.5130, 4.5130 Å; angles 90.00, 90.00, 90.00 degrees
Sites, in units of the cell vectors:
Cu1 0.0000 0.0000 0.5000
Cu2 0.0000 0.5000 0.0000
Cu3 0.5000 0.0000 0.0000
As1 0.0000 0.0000 0.0000
P1 0.5000 0.5000 0.5000

Computed properties:
VASP energy (eV for the cell shown): -18.6
Density of states at the Fermi level (states/eV/f.u.): 3.57
ρ (g cm⁻³): 5.36
DFT formation energy (eV/atom): 0.76
Magnetization (μB per formula unit): 0.7